{"formula": "NaCaMg2Ti", "functional": "PBE", "state": "relaxed", "lattice": [[-1.428, -3.602, 4.519], [0.259, -4.375, -3.405], [5.772, -0.665, 1.294]], "species": ["Na", "Ca", "Mg", "Mg", "Ti"], "frac_coords": [[0.500, 0.500, 0.500], [0.000, 0.000, 0.000], [0.000, 0.000, 0.500], [0.500, 0.000, 0.000], [0.000, 0.500, 0.000]], "formation_energy_ev_per_atom": 1.099, "spacegroup": "No. 123"}

***

{"formula": "NaCaMg2Tl", "functional": "PBE", "state": "relaxed", "lattice": [[-1.196, -1.919, -4.996], [-1.030, -5.156, 2.228], [-5.260, 1.368, 0.734]], "species": ["Mg", "Mg", "Na", "Tl", "Ca"], "frac_coords": [[0.000, 0.000, 0.500], [0.500, 0.000, 0.000], [0.000, 0.500, 0.000], [0.000, 0.000, 0.000], [0.500, 0.500, 0.500]], "formation_energy_ev_per_atom": 0.180, "spacegroup": "No. 123"}